## Cd2AgIr (PBE)

Data for a relaxed structure of Cd2AgIr.

CIF file:
```
data_Cd2AgIr
_symmetry_space_group_name_H-M 'P 4 m m'
_symmetry_Int_Tables_number 99
_symmetry_space_group_name_Hall 'P 4 -2'
_cell_length_a 3.418
_cell_length_b 3.418
_cell_length_c 6.272
_cell_angle_alpha 90.00
_cell_angle_beta 90.00
_cell_angle_gamma 90.00
loop_
_atom_site_label
_atom_site_type_symbol
_atom_site_fract_x
_atom_site_fract_y
_atom_site_fract_z
Cd1 Cd 0.000 0.000 0.000
Cd2 Cd 0.500 0.500 0.288
Ag1 Ag 0.500 0.500 0.759
Ir1 Ir 0.000 0.000 0.512
```

## CaCeHoEr (PBE)

Data for a relaxed structure of CaCeHoEr.

CIF file:
```
data_CaCeHoEr
_symmetry_space_group_name_H-M 'F -4 3 m'
_symmetry_Int_Tables_number 216
_symmetry_space_group_name_Hall 'F -4 2 3'
_cell_length_a 8.105
_cell_length_b 8.105
_cell_length_c 8.105
_cell_angle_alpha 90.00
_cell_angle_beta 90.00
_cell_angle_gamma 90.00
loop_
_atom_site_label
_atom_site_type_symbol
_atom_site_fract_x
_atom_site_fract_y
_atom_site_fract_z
Ca1 Ca 0.000 0.000 0.000
Ce1 Ce 0.000 0.000 0.500
Ho1 Ho 0.250 0.250 0.750
Er1 Er 0.250 0.250 0.250
```

Volume? In order: 18.3 33.3 Å³/atom.
Energy of formation? In order: 0.254 0.241 eV/atom.